Entry 1:
Compound: Cr2SiIr
Source: the Alexandria database
Functional: SCAN
Structure: PBEsol geometry

Output
- ΔE_f (raw) (kJ/mol of formula units) = -141
- volume (Å³ per atom) = 11.95
- space group = No. 71
- M_tot (μB/cell) = 0.000

Cell lengths 2.864, 3.995, 4.846 Å; angles 114.34, 107.19, 90.00 degrees
Positions (direct):
Cr (0.738, 0.738, 0.476)
Cr (0.262, 0.262, 0.524)
Ir (0.500, 0.000, 0.000)
Si (0.000, 0.500, 0.000)

Entry 2:
Compound: CrSiIr2
Source: the Alexandria database
Functional: SCAN
Structure: PBEsol geometry

Output
- ΔE_f (raw) (kJ/mol of formula units) = -6
- volume (Å³ per atom) = 13.17
- space group = No. 216
- M_tot (μB/cell) = 0.001

Cell lengths 4.208, 4.208, 4.208 Å; angles 60.00, 60.00, 60.00 degrees
Positions (direct):
Cr (0.500, 0.500, 0.500)
Ir (0.000, 0.000, 0.000)
Ir (0.250, 0.250, 0.250)
Si (0.750, 0.750, 0.750)

Entry 3:
Compound: CrSiIr2
Source: the Alexandria database
Functional: SCAN
Structure: PBEsol geometry

Output
- ΔE_f (raw) (kJ/mol of formula units) = -153
- volume (Å³ per atom) = 13.05
- space group = No. 119
- M_tot (μB/cell) = 2.385

Cell lengths 3.693, 3.693, 4.634 Å; angles 113.48, 113.48, 90.00 degrees
Site moments in Bohr magnetons follow the coordinates.
Positions (direct):
Cr (0.250, 0.750, 0.500)  2.68
Ir (0.000, 0.000, 0.000)  -0.32
Ir (0.750, 0.250, 0.500)  -0.03
Si (0.500, 0.500, 0.000)  -0.06

Entry 4:
Compound: Cr2SiIr
Source: the Alexandria database
Functional: SCAN
Structure: PBEsol geometry

Output
- ΔE_f (raw) (kJ/mol of formula units) = -16
- volume (Å³ per atom) = 12.31
- space group = No. 166
- M_tot (μB/cell) = 0.005

Cell lengths 2.629, 2.629, 8.366 Å; angles 80.96, 80.96, 60.00 degrees
Positions (direct):
Cr (0.252, 0.252, 0.244)
Cr (0.748, 0.748, 0.756)
Ir (0.500, 0.500, 0.500)
Si (0.000, 0.000, 0.000)

Entry 5:
Compound: Cr2SiIr
Source: the Alexandria database
Functional: SCAN
Structure: PBEsol geometry

Output
- ΔE_f (raw) (kJ/mol of formula units) = -110
- volume (Å³ per atom) = 12.07
- space group = No. 44
- M_tot (μB/cell) = 0.094

Cell lengths 2.831, 4.200, 4.786 Å; angles 116.03, 107.20, 90.00 degrees
Site moments in Bohr magnetons follow the coordinates.
Positions (direct):
Cr (0.993, 0.993, 0.987)  -2.05
Cr (0.738, 0.238, 0.476)  2.13
Ir (0.513, 0.513, 0.026)  -0.14
Si (0.256, 0.756, 0.512)  -0.03

Entry 6:
Compound: Cr2SiIr
Source: the Alexandria database
Functional: SCAN
Structure: PBEsol geometry

Output
- ΔE_f (raw) (kJ/mol of formula units) = -141
- volume (Å³ per atom) = 12.28
- space group = No. 8
- M_tot (μB/cell) = 0.025

Cell lengths 2.778, 4.418, 4.431 Å; angles 107.00, 90.00, 108.32 degrees
Site moments in Bohr magnetons follow the coordinates.
Positions (direct):
Cr (0.012, 0.025, 0.054)  2.02
Cr (0.730, 0.460, 0.179)  -2.03
Ir (0.504, 0.007, 0.549)  0.00
Si (0.254, 0.508, 0.719)  0.04

Entry 7:
Compound: CrSiIr2
Source: the Alexandria database
Functional: SCAN
Structure: PBEsol geometry

Output
- ΔE_f (raw) (kJ/mol of formula units) = -230
- volume (Å³ per atom) = 13.05
- space group = No. 139
- M_tot (μB/cell) = 2.161

Cell lengths 3.860, 4.442, 3.860 Å; angles 64.25, 90.00, 115.75 degrees
Site moments in Bohr magnetons follow the coordinates.
Positions (direct):
Cr (0.000, 0.000, 0.000)  2.19
Si (0.500, 0.000, 0.500)  -0.02
Ir (0.250, 0.500, 0.250)  -0.06
Ir (0.750, 0.500, 0.750)  -0.06

Entry 8:
Compound: CrSiIr2
Source: the Alexandria database
Functional: SCAN
Structure: PBEsol geometry

Output
- ΔE_f (raw) (kJ/mol of formula units) = -196
- volume (Å³ per atom) = 13.06
- space group = No. 65
- M_tot (μB/cell) = 2.792

Cell lengths 2.766, 4.398, 4.398 Å; angles 102.51, 90.00, 90.00 degrees
Site moments in Bohr magnetons follow the coordinates.
Positions (direct):
Cr (0.500, 0.500, 0.500)  2.75
Ir (0.000, 0.500, 0.000)  -0.04
Ir (0.000, 0.000, 0.500)  -0.04
Si (0.500, 0.000, 0.000)  0.00

Entry 9:
Compound: CrSiIr2
Source: the Alexandria database
Functional: SCAN
Structure: PBEsol geometry

Output
- ΔE_f (raw) (kJ/mol of formula units) = -115
- volume (Å³ per atom) = 13.11
- space group = No. 71
- M_tot (μB/cell) = 1.734

Cell lengths 2.817, 4.346, 5.006 Å; angles 115.73, 106.34, 90.00 degrees
Site moments in Bohr magnetons follow the coordinates.
Positions (direct):
Cr (0.000, 0.500, 0.000)  1.99
Ir (0.777, 0.777, 0.553)  -0.12
Ir (0.223, 0.223, 0.447)  -0.12
Si (0.500, 0.000, 0.000)  -0.05

Entry 10:
Compound: CrSnIr3
Source: the Alexandria database
Functional: SCAN
Structure: PBEsol geometry

Output
- volume (Å³ per atom) = 18.01
- formation enthalpy at 0 K (eV per atom) = 1.24
- space group = No. 221
- M_tot (μB/cell) = 0.000

Cell lengths 4.482, 4.482, 4.482 Å; angles 90.00, 90.00, 90.00 degrees
Positions (direct):
Cr (0.000, 0.000, 0.000)
Ir (0.000, 0.500, 0.000)
Ir (0.000, 0.000, 0.500)
Ir (0.500, 0.000, 0.000)
Sn (0.500, 0.500, 0.500)

Entry 11:
Compound: Cr3SnIr
Source: the Alexandria database
Functional: SCAN
Structure: PBEsol geometry

Output
- volume (Å³ per atom) = 22.40
- formation enthalpy at 0 K (eV per atom) = 1.73
- space group = No. 221
- M_tot (μB/cell) = 10.998

Cell lengths 4.820, 4.820, 4.820 Å; angles 90.00, 90.00, 90.00 degrees
Site moments in Bohr magnetons follow the coordinates.
Positions (direct):
Cr (0.000, 0.500, 0.000)  3.77
Cr (0.000, 0.000, 0.500)  3.77
Cr (0.500, 0.000, 0.000)  3.77
Ir (0.500, 0.500, 0.500)  -1.44
Sn (0.000, 0.000, 0.000)  -0.09

Entry 12:
Compound: Sr3CrIr
Source: the Alexandria database
Functional: SCAN
Structure: PBEsol geometry

Output
- volume (Å³ per atom) = 37.29
- formation enthalpy at 0 K (eV per atom) = 0.18
- space group = No. 221
- M_tot (μB/cell) = 5.540

Cell lengths 5.713, 5.713, 5.713 Å; angles 90.00, 90.00, 90.00 degrees
Site moments in Bohr magnetons follow the coordinates.
Positions (direct):
Sr (0.000, 0.500, 0.000)  0.01
Sr (0.000, 0.000, 0.500)  0.01
Sr (0.500, 0.000, 0.000)  0.01
Ir (0.000, 0.000, 0.000)  0.05
Cr (0.500, 0.500, 0.500)  4.34

Entry 13:
Compound: TaCr2Ir
Source: the Alexandria database
Functional: SCAN
Structure: PBEsol geometry

Output
- volume (Å³ per atom) = 13.74
- formation enthalpy at 0 K (eV per atom) = -0.10
- space group = No. 71
- M_tot (μB/cell) = 0.000

Cell lengths 3.189, 4.143, 4.913 Å; angles 114.94, 108.94, 90.00 degrees
Positions (direct):
Cr (0.743, 0.743, 0.486)
Cr (0.257, 0.257, 0.514)
Ir (0.500, 0.000, 0.000)
Ta (0.000, 0.500, 0.000)

Entry 14:
Compound: TaCrIr
Source: the Alexandria database
Functional: SCAN
Structure: PBEsol geometry

Output
- volume (Å³ per atom) = 14.45
- formation enthalpy at 0 K (eV per atom) = -0.24
- space group = No. 44
- M_tot (μB/cell) = 2.321

Cell lengths 2.765, 3.666, 4.854 Å; angles 112.18, 106.55, 90.00 degrees
Site moments in Bohr magnetons follow the coordinates.
Positions (direct):
Cr (0.009, 0.009, 0.018)  2.31
Ir (0.655, 0.655, 0.311)  -0.01
Ta (0.336, 0.336, 0.671)  -0.11

Entry 15:
Compound: TaCr4Ir
Source: the Alexandria database
Functional: SCAN
Structure: PBEsol geometry

Output
- volume (Å³ per atom) = 12.66
- formation enthalpy at 0 K (eV per atom) = -0.12
- space group = No. 216
- M_tot (μB/cell) = 0.000

Cell lengths 4.754, 4.754, 4.754 Å; angles 60.00, 60.00, 60.00 degrees
Positions (direct):
Cr (0.373, 0.373, 0.373)
Cr (0.373, 0.373, 0.882)
Cr (0.882, 0.373, 0.373)
Cr (0.373, 0.882, 0.373)
Ir (0.750, 0.750, 0.750)
Ta (0.000, 0.000, 0.000)

Entry 16:
Compound: TaCr2Ir
Source: the Alexandria database
Functional: SCAN
Structure: PBEsol geometry

Output
- volume (Å³ per atom) = 13.60
- formation enthalpy at 0 K (eV per atom) = -0.05
- space group = No. 123
- M_tot (μB/cell) = 2.341

Cell lengths 3.008, 3.008, 6.013 Å; angles 90.00, 90.00, 90.00 degrees
Site moments in Bohr magnetons follow the coordinates.
Positions (direct):
Cr (0.000, 0.000, 0.748)  1.31
Cr (0.000, 0.000, 0.252)  1.31
Ir (0.500, 0.500, 0.000)  0.13
Ta (0.500, 0.500, 0.500)  -0.39

Entry 17:
Compound: Ta4CrIr
Source: the Alexandria database
Functional: SCAN
Structure: PBEsol geometry

Output
- volume (Å³ per atom) = 17.18
- formation enthalpy at 0 K (eV per atom) = 0.27
- space group = No. 216
- M_tot (μB/cell) = 3.336

Cell lengths 5.263, 5.263, 5.263 Å; angles 60.00, 60.00, 60.00 degrees
Site moments in Bohr magnetons follow the coordinates.
Positions (direct):
Cr (0.750, 0.750, 0.750)  3.39
Ir (0.000, 0.000, 0.000)  0.09
Ta (0.375, 0.375, 0.375)  -0.08
Ta (0.375, 0.375, 0.874)  -0.08
Ta (0.874, 0.375, 0.375)  -0.08
Ta (0.375, 0.874, 0.375)  -0.08

Entry 18:
Compound: TaCrIr4
Source: the Alexandria database
Functional: SCAN
Structure: PBEsol geometry

Output
- volume (Å³ per atom) = 15.53
- formation enthalpy at 0 K (eV per atom) = -0.13
- space group = No. 216
- M_tot (μB/cell) = 4.263

Cell lengths 5.089, 5.089, 5.089 Å; angles 60.00, 60.00, 60.00 degrees
Site moments in Bohr magnetons follow the coordinates.
Positions (direct):
Cr (0.000, 0.000, 0.000)  3.60
Ir (0.374, 0.374, 0.374)  0.05
Ir (0.374, 0.374, 0.877)  0.05
Ir (0.877, 0.374, 0.374)  0.05
Ir (0.374, 0.877, 0.374)  0.05
Ta (0.750, 0.750, 0.750)  0.12

Entry 19:
Compound: Cr2TcIr
Source: the Alexandria database
Functional: SCAN
Structure: PBEsol geometry

Output
- volume (Å³ per atom) = 12.77
- formation enthalpy at 0 K (eV per atom) = -0.01
- space group = No. 8
- M_tot (μB/cell) = 0.001

Cell lengths 2.628, 4.522, 4.554 Å; angles 99.32, 106.77, 90.00 degrees
Positions (direct):
Cr (0.996, 0.998, 0.992)
Cr (0.249, 0.748, 0.497)
Ir (0.503, 0.513, 0.006)
Tc (0.752, 0.241, 0.505)

Entry 20:
Compound: Cr4TcIr
Source: the Alexandria database
Functional: SCAN
Structure: PBEsol geometry

Output
- volume (Å³ per atom) = 12.02
- formation enthalpy at 0 K (eV per atom) = -0.10
- space group = No. 216
- M_tot (μB/cell) = 0.001

Cell lengths 4.672, 4.672, 4.672 Å; angles 60.00, 60.00, 60.00 degrees
Positions (direct):
Cr (0.374, 0.374, 0.374)
Cr (0.374, 0.374, 0.877)
Cr (0.877, 0.374, 0.374)
Cr (0.374, 0.877, 0.374)
Ir (0.750, 0.750, 0.750)
Tc (0.000, 0.000, 0.000)